! RbCoSeO PBE+U optimized geometry; values from VASP
&SYSTEM
  ibrav = 0, nat = 8, ntyp = 4
/
ATOMIC_SPECIES
Rb 85.47 Rb.upf
Co 58.93 Co.upf
Se 78.96 Se.upf
O 16.00 O.upf
ATOMIC_POSITIONS angstrom
Rb 1.058 3.173 0.000
Rb 3.173 1.058 0.000
Co 1.058 1.058 4.652
Co 3.173 3.173 5.455
Se 1.058 1.058 2.344
Se 3.173 3.173 7.763
O 1.058 3.173 5.054
O 3.173 1.058 5.054
CELL_PARAMETERS angstrom
4.230 0.000 0.000
0.000 4.230 0.000
0.000 0.000 10.107
! ΔE to the lowest computed polymorph in eV per formula unit: 2.700